## i
{"formula": "NbWS4", "functional": "PBE", "state": "optimized geometry", "cell": [[5.559, 0.000, 0.000], [0.000, 6.919, -0.661], [0.000, -3.355, 6.126]], "species": ["W", "S", "S", "W", "S", "Nb", "S", "S", "S", "S", "Nb", "S"], "frac_coords": [[0.500, 0.500, 0.000], [0.228, 0.333, 0.677], [0.772, 0.171, 0.836], [0.000, 0.000, 0.000], [0.272, 0.329, 0.164], [0.500, 0.000, 0.500], [0.772, 0.667, 0.323], [0.272, 0.833, 0.677], [0.228, 0.829, 0.164], [0.728, 0.167, 0.323], [0.000, 0.500, 0.500], [0.728, 0.671, 0.836]], "magnetic_moment_mub_per_atom": 0.00, "dos_at_fermi_per_ev_cell": 6.83}

***

## ii
{"formula": "NbWS4", "functional": "PBE", "state": "optimized geometry", "cell": [[3.289, -0.002, -0.001], [-1.641, 6.683, -1.083], [0.001, 0.024, 5.707]], "species": ["Nb", "S", "S", "W", "S", "S"], "frac_coords": [[0.000, 0.000, 0.000], [0.884, 0.768, 0.617], [0.618, 0.236, 0.871], [0.500, 0.000, 0.500], [0.382, 0.764, 0.129], [0.116, 0.232, 0.383]], "magnetic_moment_mub_per_atom": 0.00, "dos_at_fermi_per_ev_cell": 2.85}

***

Structures ranked by computed energy, the most stable listed first: ii, i.